First-principles (GGA+U) data for a relaxed structure of Li2VFeO4, as listed in the Alexandria database.

## Properties
- Total energy: -6.51 eV/atom

Cell lengths 5.204, 2.980, 5.214 Å; angles 90.00, 109.81, 90.00 degrees
Sites, in units of the cell vectors:
Li1 0.000 0.000 0.000
Li2 0.000 0.500 0.500
V1 0.500 0.000 0.500
Fe1 0.500 0.500 0.000
O1 0.272 0.000 0.758
O2 0.272 0.500 0.254
O3 0.728 0.000 0.242
O4 0.728 0.500 0.746